Version 1
! TaHOs | Alexandria via LeMat-Bulk | PBE | relaxed; values from VASP
&SYSTEM
  ibrav = 0, nat = 6, ntyp = 3
/
ATOMIC_SPECIES
Ta 180.95 Ta.upf
H 1.01 H.upf
Os 190.23 Os.upf
CELL_PARAMETERS angstrom
3.060 0.000 0.000
0.000 3.060 0.000
0.000 0.000 7.677
ATOMIC_POSITIONS crystal
Ta 0.250 0.250 0.176
Ta 0.750 0.750 0.824
H 0.250 0.750 0.000
H 0.750 0.250 0.000
Os 0.250 0.250 0.624
Os 0.750 0.750 0.376
! SG: P4/nmm, No. 129
! Total moment, μB per formula unit: 0.0
! DOS at the Fermi energy, states/eV per atom: 0.582



Version 2
! TaHOs | Alexandria via LeMat-Bulk | PBE | relaxed; values from VASP
&SYSTEM
  ibrav = 0, nat = 12, ntyp = 3
/
ATOMIC_SPECIES
Ta 180.95 Ta.upf
H 1.01 H.upf
Os 190.23 Os.upf
CELL_PARAMETERS angstrom
4.826 0.000 0.000
0.000 6.049 0.000
-3.584 0.000 4.846
ATOMIC_POSITIONS crystal
Ta 0.017 0.211 0.292
Ta 0.017 0.289 0.792
Ta 0.983 0.711 0.208
Ta 0.983 0.789 0.708
H 0.151 0.577 0.001
H 0.151 0.923 0.501
H 0.849 0.077 0.499
H 0.849 0.423 0.999
Os 0.442 0.505 0.713
Os 0.442 0.995 0.213
Os 0.558 0.005 0.787
Os 0.558 0.495 0.287
! SG: P2_1/c, No. 14
! Total moment, μB per formula unit: 0.0
! DOS at the Fermi energy, states/eV per atom: 0.524



On energetic grounds, version 1 is preferred over the next structure by 0.101 eV/atom.



Version 1
! Ta2H2Os | Alexandria via LeMat-Bulk | PBE | relaxed; values from VASP
&SYSTEM
  ibrav = 0, nat = 5, ntyp = 3
/
ATOMIC_SPECIES
Ta 180.95 Ta.upf
H 1.01 H.upf
Os 190.23 Os.upf
CELL_PARAMETERS angstrom
3.021 0.000 0.000
0.000 3.021 0.000
0.000 0.000 6.350
ATOMIC_POSITIONS crystal
Ta 0.000 0.000 0.227
Ta 0.000 0.000 0.773
H 0.000 0.500 0.000
H 0.500 0.000 0.000
Os 0.500 0.500 0.500
! SG: P4/mmm, No. 123
! Total moment, μB per formula unit: 0.0
! DOS at the Fermi energy, states/eV per atom: 0.538



Version 2
! Ta2H2Os | Alexandria via LeMat-Bulk | PBE | relaxed; values from VASP
&SYSTEM
  ibrav = 0, nat = 5, ntyp = 3
/
ATOMIC_SPECIES
Ta 180.95 Ta.upf
H 1.01 H.upf
Os 190.23 Os.upf
CELL_PARAMETERS angstrom
-1.493 1.493 6.254
1.493 -1.493 6.254
1.493 1.493 -6.254
ATOMIC_POSITIONS crystal
Ta 0.143 0.143 0.000
Ta 0.857 0.857 0.000
H 0.250 0.750 0.500
H 0.750 0.250 0.500
Os 0.500 0.500 0.000
! SG: I4/mmm, No. 139
! Total moment, μB per formula unit: 0.0
! DOS at the Fermi energy, states/eV per atom: 0.693



On energetic grounds, version 2 is preferred over the next structure by 0.105 eV/atom.



Version 1
! Ta2HOs | Alexandria via LeMat-Bulk | PBE | relaxed; values from VASP
&SYSTEM
  ibrav = 0, nat = 8, ntyp = 3
/
ATOMIC_SPECIES
Ta 180.95 Ta.upf
H 1.01 H.upf
Os 190.23 Os.upf
CELL_PARAMETERS angstrom
-3.010 3.010 3.100
3.010 -3.010 3.100
3.010 3.010 -3.100
ATOMIC_POSITIONS crystal
Ta 0.049 0.625 0.924
Ta 0.375 0.299 0.424
Ta 0.701 0.125 0.076
Ta 0.875 0.951 0.576
H 0.000 0.000 0.000
H 0.750 0.250 0.500
Os 0.250 0.750 0.500
Os 0.500 0.500 0.000
! SG: I-42d, No. 122
! Total moment, μB per formula unit: 0.0
! DOS at the Fermi energy, states/eV per atom: 0.409



Version 2
! Ta2HOs | Alexandria via LeMat-Bulk | PBE | relaxed; values from VASP
&SYSTEM
  ibrav = 0, nat = 4, ntyp = 3
/
ATOMIC_SPECIES
Ta 180.95 Ta.upf
H 1.01 H.upf
Os 190.23 Os.upf
CELL_PARAMETERS angstrom
0.000 3.091 3.091
3.091 0.000 3.091
3.091 3.091 0.000
ATOMIC_POSITIONS crystal
Ta 0.250 0.250 0.250
Ta 0.750 0.750 0.750
H 0.000 0.000 0.000
Os 0.500 0.500 0.500
! SG: Fm-3m, No. 225
! Total moment, μB per formula unit: 0.0
! DOS at the Fermi energy, states/eV per atom: 0.860



On energetic grounds, version 1 is preferred over the next structure by 0.262 eV/atom.



Version 1
! TaHOs2 | Alexandria via LeMat-Bulk | PBE | relaxed; values from VASP
&SYSTEM
  ibrav = 0, nat = 4, ntyp = 3
/
ATOMIC_SPECIES
Ta 180.95 Ta.upf
H 1.01 H.upf
Os 190.23 Os.upf
CELL_PARAMETERS angstrom
0.000 3.022 3.022
3.022 0.000 3.022
3.022 3.022 0.000
ATOMIC_POSITIONS crystal
Ta 0.000 0.000 0.000
H 0.500 0.500 0.500
Os 0.250 0.250 0.250
Os 0.750 0.750 0.750
! SG: Fm-3m, No. 225
! Total moment, μB per formula unit: 0.0
! DOS at the Fermi energy, states/eV per atom: 0.983



Version 2
! TaHOs2 | Alexandria via LeMat-Bulk | PBE | relaxed; values from VASP
&SYSTEM
  ibrav = 0, nat = 8, ntyp = 3
/
ATOMIC_SPECIES
Ta 180.95 Ta.upf
H 1.01 H.upf
Os 190.23 Os.upf
CELL_PARAMETERS angstrom
-2.770 2.770 3.426
2.770 -2.770 3.426
2.770 2.770 -3.426
ATOMIC_POSITIONS crystal
Ta 0.000 0.000 0.000
Ta 0.750 0.250 0.500
H 0.250 0.750 0.500
H 0.500 0.500 0.000
Os 0.268 0.625 0.143
Os 0.375 0.518 0.643
Os 0.482 0.125 0.857
Os 0.875 0.732 0.357
! SG: I-42d, No. 122
! Total moment, μB per formula unit: 0.0
! DOS at the Fermi energy, states/eV per atom: 0.798



On energetic grounds, version 2 is preferred over the next structure by 0.344 eV/atom.



Version 1
! Ta3HOs | Alexandria via LeMat-Bulk | PBE | relaxed; values from VASP
&SYSTEM
  ibrav = 0, nat = 5, ntyp = 3
/
ATOMIC_SPECIES
Ta 180.95 Ta.upf
H 1.01 H.upf
Os 190.23 Os.upf
CELL_PARAMETERS angstrom
4.147 0.000 0.000
0.000 4.147 0.000
0.000 0.000 4.147
ATOMIC_POSITIONS crystal
Ta 0.000 0.000 0.500
Ta 0.000 0.500 0.000
Ta 0.500 0.000 0.000
H 0.000 0.000 0.000
Os 0.500 0.500 0.500
! SG: Pm-3m, No. 221
! Total moment, μB per formula unit: 0.0
! DOS at the Fermi energy, states/eV per atom: 0.663



Version 2
! Ta3HOs | Alexandria via LeMat-Bulk | PBE | relaxed; values from VASP
&SYSTEM
  ibrav = 0, nat = 5, ntyp = 3
/
ATOMIC_SPECIES
Ta 180.95 Ta.upf
H 1.01 H.upf
Os 190.23 Os.upf
CELL_PARAMETERS angstrom
4.864 0.000 0.000
0.000 4.864 0.000
0.000 0.000 4.864
ATOMIC_POSITIONS crystal
Ta 0.000 0.000 0.500
Ta 0.000 0.500 0.000
Ta 0.500 0.000 0.000
H 0.500 0.500 0.500
Os 0.000 0.000 0.000
! SG: Pm-3m, No. 221
! Total moment, μB per formula unit: 0.0
! DOS at the Fermi energy, states/eV per atom: 1.222



On energetic grounds, version 1 is preferred over the next structure by 1.795 eV/atom.



Version 1
! TaTcHOs2 | Alexandria via LeMat-Bulk | PBE | relaxed; values from VASP
&SYSTEM
  ibrav = 0, nat = 5, ntyp = 4
/
ATOMIC_SPECIES
Ta 180.95 Ta.upf
Tc 98.00 Tc.upf
H 1.01 H.upf
Os 190.23 Os.upf
CELL_PARAMETERS angstrom
3.971 0.000 0.000
0.000 3.971 0.000
0.000 0.000 3.992
ATOMIC_POSITIONS crystal
Ta 0.000 0.000 0.000
Tc 0.500 0.500 0.000
H 0.500 0.500 0.500
Os 0.000 0.500 0.500
Os 0.500 0.000 0.500
! SG: P4/mmm, No. 123
! Total moment, μB per formula unit: 0.0
! DOS at the Fermi energy, states/eV per atom: 1.035



Version 2
! TaTcHOs2 | Alexandria via LeMat-Bulk | PBE | relaxed; values from VASP
&SYSTEM
  ibrav = 0, nat = 5, ntyp = 4
/
ATOMIC_SPECIES
Ta 180.95 Ta.upf
Tc 98.00 Tc.upf
H 1.01 H.upf
Os 190.23 Os.upf
CELL_PARAMETERS angstrom
3.944 0.000 0.000
0.000 3.944 0.000
0.000 0.000 4.054
ATOMIC_POSITIONS crystal
Ta 0.000 0.000 0.000
Tc 0.500 0.500 0.000
H 0.000 0.000 0.500
Os 0.000 0.500 0.500
Os 0.500 0.000 0.500
! SG: P4/mmm, No. 123
! Total moment, μB per formula unit: 0.0
! DOS at the Fermi energy, states/eV per atom: 0.955



On energetic grounds, version 1 is preferred over the next structure by 0.035 eV/atom.